[1]
The following is a GGA-PBE calculation of a relaxed MgSnPt3 crystal, from the Alexandria database.

Cell: 4.941 4.941 4.941 Å, 90.00 90.00 90.00°
Fractional coordinates of all 5 atoms:
Mg  0.000  0.000  0.000
Sn  0.500  0.500  0.500
Pt  0.000  0.500  0.500
Pt  0.500  0.000  0.500
Pt  0.500  0.500  0.000

The calculation puts the calculated formation energy at 2.395 eV/f.u. The density of states at the Fermi level comes out at 2.425 states/eV/cell. The space group is Pm-3m. As for the volume: 24.122 A^3/atom. For the distance to the lowest polymorph of the same formula, the calculation gives 0.0 meV/atom.

[2]
The following is a GGA-PBE calculation of a relaxed Mg2SnPt8 crystal, from the Alexandria database.

Cell: 7.934 7.934 5.724 Å, 110.96 110.96 33.81°
Fractional coordinates of all 11 atoms:
Mg  0.187  0.187  0.186
Mg  0.813  0.813  0.814
Sn  0.500  0.500  0.500
Pt  0.000  0.000  0.236
Pt  0.000  0.000  0.764
Pt  0.174  0.174  0.675
Pt  0.349  0.349  0.613
Pt  0.350  0.350  0.085
Pt  0.650  0.650  0.915
Pt  0.651  0.651  0.387
Pt  0.826  0.826  0.325

The calculation puts the calculated formation energy at -4.285 eV/f.u. The density of states at the Fermi level comes out at 7.822 states/eV/cell. The space group is C2/m. As for the volume: 16.909 A^3/atom.

[3]
The following is a GGA-PBE calculation of a relaxed MgSn2Pt crystal, from the Alexandria database.

Cell: 4.357 4.357 19.019 Å, 90.00 90.00 90.00°
Fractional coordinates of all 16 atoms:
Mg  0.000  0.000  0.000
Mg  0.000  0.500  0.250
Mg  0.500  0.000  0.750
Mg  0.500  0.500  0.500
Sn  0.238  0.250  0.625
Sn  0.250  0.738  0.875
Sn  0.250  0.762  0.375
Sn  0.262  0.250  0.125
Sn  0.738  0.750  0.125
Sn  0.750  0.238  0.375
Sn  0.750  0.262  0.875
Sn  0.762  0.750  0.625
Pt  0.000  0.000  0.500
Pt  0.000  0.500  0.750
Pt  0.500  0.000  0.250
Pt  0.500  0.500  0.000

The calculation puts the calculated formation energy at -0.704 eV/f.u. The density of states at the Fermi level comes out at 7.591 states/eV/cell. The space group is I-42d. As for the volume: 22.562 A^3/atom.